The following is a DFT calculation (PBE) of crystalline CdBiPb at its relaxed geometry.

Output
formation energy	0.16	eV/f.u.
M_tot	0.000	μB per formula unit
raw total energy	-2.78	eV/atom
crystal system	trigonal
space-group type	No. 156

Structure (extended XYZ):
```
3
Lattice="3.3931 0.0000 0.0000 0.0000 5.5183 0.0000 0.0000 -2.7591 4.7790" Properties=species:S:1:pos:R:3 pbc="T T T"
Pb 2.2516 2.7591 1.5930
Bi 0.5855 0.0000 3.1860
Cd 0.5560 0.0000 0.0000
```



The following is a DFT calculation (PBE) of crystalline CdBiPb3 at its relaxed geometry.

Output
formation energy	2.10	eV/f.u.
M_tot	0.000	μB per formula unit
raw total energy	-2.76	eV/atom
crystal system	cubic
space-group type	No. 221
ΔE to the lowest computed polymorph	390	meV per atom

Structure (extended XYZ):
```
5
Lattice="5.6460 0.0000 0.0000 0.0000 5.6460 0.0000 0.0000 0.0000 5.6460" Properties=species:S:1:pos:R:3 pbc="T T T"
Pb 0.0000 2.8230 0.0000
Pb 0.0000 0.0000 2.8230
Pb 2.8230 0.0000 0.0000
Bi 2.8230 2.8230 2.8230
Cd 0.0000 0.0000 0.0000
```



The following is a DFT calculation (PBE) of crystalline Cd2Bi3Pb3 at its relaxed geometry.

Output
formation energy	0.40	eV/f.u.
M_tot	0.000	μB per formula unit
raw total energy	-3.03	eV/atom
crystal system	triclinic
space-group type	No. 2

Structure (extended XYZ):
```
16
Lattice="-5.3905 1.1215 3.6730 4.2026 -5.1677 0.2461 -0.9628 6.8261 17.1561" Properties=species:S:1:pos:R:3 pbc="T T T"
Cd -2.1707 3.4414 18.8502
Cd 0.2780 0.7243 8.1724
Cd -2.4287 2.0556 12.9027
Cd 0.0201 -0.6615 2.2249
Bi -0.6548 -0.0749 11.2577
Bi -0.7786 4.7514 16.3711
Bi -1.3720 -1.9716 4.7040
Bi -1.4959 2.8548 9.8174
Bi -2.4810 0.2669 6.8300
Bi 0.3303 2.5130 14.2451
Pb -4.6531 2.6913 8.6625
Pb 0.4817 1.6779 17.5529
Pb -2.6324 1.1020 3.5222
Pb 2.5025 0.0885 12.4126
Pb 1.6027 -1.5828 6.2777
Pb -3.7533 4.3627 14.7974
```



The following is a DFT calculation (PBE) of crystalline Cd3Bi3Pb5 at its relaxed geometry.

Output
formation energy	1.58	eV/f.u.
M_tot	0.000	μB per formula unit
raw total energy	-2.85	eV/atom
crystal system	hexagonal
space-group type	No. 189

Structure (extended XYZ):
```
11
Lattice="3.4444 0.0000 0.0000 0.0000 9.3076 -5.3738 0.0000 0.0000 10.7475" Properties=species:S:1:pos:R:3 pbc="T T T"
Cd 1.7222 7.8507 -4.5326
Cd 1.7222 1.4570 0.8412
Cd 1.7222 0.0000 9.0652
Bi 0.0000 5.6007 -3.2336
Bi 0.0000 0.0000 6.4672
Bi 0.0000 3.7069 2.1402
Pb 1.7222 6.2051 0.0000
Pb 1.7222 3.1025 5.3738
Pb 1.7222 3.1287 -1.8064
Pb 1.7222 6.1789 3.5674
Pb 1.7222 0.0000 3.6127
```



The following is a DFT calculation (PBE) of crystalline CdBi2Pb at its relaxed geometry.

Output
formation energy	0.54	eV/f.u.
M_tot	0.000	μB per formula unit
raw total energy	-2.96	eV/atom
crystal system	tetragonal
space-group type	No. 122

Structure (extended XYZ):
```
8
Lattice="-6.0470 3.2632 -0.7413 -2.9128 -4.3790 4.4838 -2.8344 3.6728 7.0720" Properties=species:S:1:pos:R:3 pbc="T T T"
Pb 0.0000 0.0000 0.0000
Pb -6.6807 3.1891 4.1009
Bi -4.7679 2.3649 1.8755
Bi -3.3692 -1.3653 4.4674
Bi -5.5263 2.2752 6.7699
Bi -9.9251 1.8393 8.5162
Cd -4.4799 -0.5579 1.8712
Cd -5.1136 -0.6321 6.7135
```



The following is a DFT calculation (PBE) of crystalline Cd12Bi3Pb5 at its relaxed geometry.

Output
formation energy	3.86	eV/f.u.
M_tot	0.000	μB per formula unit
raw total energy	-1.87	eV/atom
crystal system	cubic
space-group type	No. 230

Structure (extended XYZ):
```
80
Lattice="-8.4507 -6.1393 -11.0061 8.7271 -10.7226 6.2534 -9.0649 5.9650 10.6060" Properties=species:S:1:pos:R:3 pbc="T T T"
Bi -4.1985 -7.8798 -4.5838
Bi -1.9822 -12.6682 -3.6146
Bi -2.2893 -6.6160 7.1915
Bi -4.4211 -0.6383 2.0074
Bi -8.5697 -5.2209 -6.1972
Bi 0.0192 -7.5126 2.4326
Bi -8.8077 -3.3843 3.4207
Bi -0.2188 -5.6759 12.0504
Bi -4.3674 -10.2586 3.8458
Bi -6.4993 -4.2808 -1.3383
Bi -6.8064 1.7713 9.4678
Bi -4.5901 -3.0171 10.4371
Pb -0.0499 -3.2971 3.6207
Pb 4.3635 -5.3613 3.1267
Pb 0.0000 0.0000 0.0000
Pb -2.1204 -4.2372 -1.2382
Pb -8.7578 -0.0871 -0.2001
Pb 0.1382 -8.4309 -2.3764
Pb 2.0896 -6.5725 7.2915
Pb -13.1789 -0.7254 1.8073
Pb -4.2830 -9.0692 -0.3690
Pb -8.8768 0.8312 4.6088
Pb 0.0883 -11.7281 1.2444
Pb -4.3943 -5.4484 2.9266
Pb -4.2254 -3.0696 -5.5031
Pb -4.5325 2.9825 5.3030
Pb -4.5056 -1.8277 6.2222
Pb 4.3904 -10.1715 4.0459
Pb -0.1689 -2.3788 8.4297
Pb -10.8782 -4.3244 -1.4383
Pb -6.6682 -6.6596 7.0914
Pb -8.7386 -7.5997 2.2325
Cd -5.5594 -5.5593 -6.5454
Cd -1.7688 -5.5074 4.3990
Cd -7.1819 -8.0725 -5.1839
Cd -3.9537 -5.1185 -3.3138
Cd -4.7248 -7.5032 5.1021
Cd -4.4613 -10.8950 -4.9541
Cd 0.2551 -7.8737 5.4511
Cd 6.0542 -9.3371 6.2778
Cd -2.7152 -9.5878 6.6573
Cd -2.5027 -9.8693 -2.5222
Cd -5.9904 -7.2432 -1.8510
Cd 0.5089 -14.6765 -2.6950
Cd 0.1474 -5.3088 9.0456
Cd -0.2315 -6.2515 -0.3324
Cd 3.9666 -8.3516 8.6172
Cd -7.4321 -0.5052 2.4705
Cd -1.4282 -1.0253 2.4441
Cd 1.4734 -9.4287 0.1308
Cd -1.5773 -13.1878 -0.6373
Cd 1.7286 -4.7226 1.8177
Cd -1.8749 -7.7153 10.0053
Cd -2.9648 -7.9106 1.9474
Cd -5.6739 -11.2536 0.9498
Cd -11.8065 -2.8823 3.1892
Cd -5.8237 -2.9863 3.9058
Cd -3.1146 0.3568 4.9034
Cd 3.0179 -8.0145 2.6640
Cd -7.2112 2.2909 6.4906
Cd -6.9136 -3.1815 -4.1521
Cd -10.5171 -6.1743 4.0355
Cd -10.2620 -1.4682 5.7224
Cd -1.3565 -10.3917 3.3827
Cd -7.3603 -9.8716 3.4092
Cd -12.7551 -2.5453 -2.7640
Cd -8.9360 -5.5880 -3.1924
Cd -9.2974 3.7796 8.5482
Cd -8.5571 -4.6453 6.1856
Cd -6.0733 -1.3091 -0.8041
Cd -6.2858 -1.0276 8.3754
Cd -2.7982 -3.6536 7.7042
Cd -14.8427 -1.5598 -0.4246
Cd -9.0436 -3.0231 0.4021
Cd -4.8348 -5.7784 9.1670
Cd -4.3272 -0.0018 10.8073
Cd -4.0637 -3.3936 0.7511
Cd -1.6067 -2.8244 11.0371
Cd -7.0197 -5.3894 1.4542
Cd -3.2292 -5.3376 12.3986
```